Material: Sr2ErMg12Cd3
Method: DFT, PBE
State: optimized geometry

abc: 9.7606 9.7606 9.7606
angles: 53.64 53.64 53.64
Atoms (fractional coordinates):
1 Sr 0.5806 0.5806 0.5806
2 Sr 0.4194 0.4194 0.4194
3 Er 0.0000 0.0000 0.0000
4 Mg 0.2174 0.2174 0.8632
5 Mg 0.8245 0.8245 0.4489
6 Mg 0.4489 0.8245 0.8245
7 Mg 0.8632 0.2174 0.2174
8 Mg 0.8245 0.4489 0.8245
9 Mg 0.2174 0.8632 0.2174
10 Mg 0.7826 0.7826 0.1368
11 Mg 0.1755 0.1755 0.5511
12 Mg 0.5511 0.1755 0.1755
13 Mg 0.1368 0.7826 0.7826
14 Mg 0.1755 0.5511 0.1755
15 Mg 0.7826 0.1368 0.7826
16 Cd 0.5000 0.0000 0.0000
17 Cd 0.0000 0.5000 0.0000
18 Cd 0.0000 0.0000 0.5000

Properties
Formation energy, meV per atom: 194
Space group: R-3m, No. 166

***

Material: TbErMgCd
Method: DFT, PBE
State: optimized geometry

abc: 5.3093 5.3093 5.3093
angles: 60.00 60.00 60.00
Atoms (fractional coordinates):
1 Mg 0.2500 0.2500 0.2500
2 Cd 0.7500 0.7500 0.7500
3 Tb 0.5000 0.5000 0.5000
4 Er 0.0000 0.0000 0.0000

Properties
Formation energy, meV per atom: -198
Space group: F-43m, No. 216

***

Material: ErThMgCd
Method: DFT, PBE
State: optimized geometry

abc: 5.3615 5.3615 5.3615
angles: 60.00 60.00 60.00
Atoms (fractional coordinates):
1 Mg 0.2500 0.2500 0.2500
2 Cd 0.7500 0.7500 0.7500
3 Th 0.5000 0.5000 0.5000
4 Er 0.0000 0.0000 0.0000

Properties
Formation energy, meV per atom: -73
Space group: F-43m, No. 216

***

Material: YErMgCd
Method: DFT, PBE
State: optimized geometry

abc: 5.3065 5.3065 5.3065
angles: 60.00 60.00 60.00
Atoms (fractional coordinates):
1 Y 0.7500 0.7500 0.7500
2 Mg 0.0000 0.0000 0.0000
3 Cd 0.5000 0.5000 0.5000
4 Er 0.2500 0.2500 0.2500

Properties
Formation energy, meV per atom: -212
Space group: F-43m, No. 216

***

Material: ErMgZnCd
Method: DFT, PBE
State: optimized geometry

abc: 4.9453 4.9453 4.9453
angles: 60.00 60.00 60.00
Atoms (fractional coordinates):
1 Zn 0.2500 0.2500 0.2500
2 Cd 0.7500 0.7500 0.7500
3 Mg 0.5000 0.5000 0.5000
4 Er 0.0000 0.0000 0.0000

Properties
Formation energy, meV per atom: -288
Space group: F-43m, No. 216

***

Material: ErMgZrCd
Method: DFT, PBE
State: optimized geometry

abc: 5.1189 5.1189 5.1189
angles: 60.00 60.00 60.00
Atoms (fractional coordinates):
1 Mg 0.7500 0.7500 0.7500
2 Cd 0.2500 0.2500 0.2500
3 Zr 0.5000 0.5000 0.5000
4 Er 0.0000 0.0000 0.0000

Properties
Formation energy, meV per atom: -47
Space group: F-43m, No. 216

***

Material: Er4MnCd3
Method: DFT, PBE
State: optimized geometry

abc: 3.5921 3.5921 15.2205
angles: 90.00 90.00 90.00
Atoms (fractional coordinates):
1 Cd 0.5000 0.5000 0.2438
2 Cd 0.5000 0.5000 0.5000
3 Cd 0.5000 0.5000 0.7562
4 Mn 0.5000 0.5000 0.0000
5 Er 0.0000 0.0000 0.8893
6 Er 0.0000 0.0000 0.1107
7 Er 0.0000 0.0000 0.3724
8 Er 0.0000 0.0000 0.6276

Properties
Formation energy, meV per atom: -193
Space group: P4/mmm, No. 123

***

Material: Er6Mn2Cd
Method: DFT, PBE
State: optimized geometry

abc: 8.3358 8.3358 8.3358
angles: 107.64 109.91 110.88
Atoms (fractional coordinates):
1 Er 0.5247 0.7141 0.8106
2 Er 0.4753 0.2859 0.1894
3 Er 0.0965 0.2859 0.8106
4 Er 0.9035 0.7141 0.1894
5 Er 0.7821 0.7706 0.5527
6 Er 0.2179 0.2294 0.4473
7 Er 0.2179 0.7706 0.9884
8 Er 0.7821 0.2294 0.0116
9 Er 0.7085 0.3961 0.6876
10 Er 0.2915 0.6039 0.3124
11 Er 0.2915 0.9791 0.6876
12 Er 0.7085 0.0209 0.3124
13 Mn 0.5000 0.3942 0.8942
14 Mn 0.5000 0.6058 0.1058
15 Mn 0.6125 0.0000 0.6125
16 Mn 0.3875 0.0000 0.3875
17 Cd 0.0000 0.5000 0.5000
18 Cd 0.0000 0.0000 0.0000

Properties
Formation energy, meV per atom: -39
Space group: Immm, No. 71

***

Look up the formation energy of the fifth one. -288 meV per atom